# AgPb4Au, relaxed, DFT PBE
# energy above the lowest structure with this stoichiometry: 0.464 eV per atom
# formation enthalpy at 0 K: 0.422 eV/atom
# E_tot: -3.072 eV per atom
data_AgPb4Au
_symmetry_space_group_name_H-M 'F -4 3 m'
_symmetry_Int_Tables_number 216
_symmetry_space_group_name_Hall 'F -4 2 3'
_cell_length_a 8.9670
_cell_length_b 8.9670
_cell_length_c 8.9670
_cell_angle_alpha 90.00
_cell_angle_beta 90.00
_cell_angle_gamma 90.00
loop_
_atom_site_label
_atom_site_type_symbol
_atom_site_fract_x
_atom_site_fract_y
_atom_site_fract_z
_atom_site_occupancy
Ag1 Ag 0.0000 0.0000 0.0000 1
Pb1 Pb 0.1249 0.1249 0.3751 1
Au1 Au 0.2500 0.2500 0.7500 1